Entry 1:
The following is a PBE calculation of a relaxed MgTeS crystal, from Alexandria.

Summary:
Formation energy without anion corrections: -1.76 eV per formula unit
Final energy: -3.54 eV/atom
Offset from the most stable computed form: 12 meV per atom

Lattice parameters (Å, degrees): 3.571 4.237 5.934 75.19 89.96 65.02
Sites, in units of the cell vectors:
Te (0.558, 0.655, 0.149)
S (0.585, 0.601, 0.686)
Mg (0.868, 0.033, 0.535)



Entry 2:
The following is a PBE calculation of a relaxed Ca2AgMo crystal, from Alexandria.

Summary:
Final energy: -4.00 eV/atom
DFT formation energy: 0.42 eV/atom
Offset from the most stable computed form: 0 meV per atom

Lattice parameters (Å, degrees): 3.141 3.141 9.267 90.00 90.00 90.00
Sites, in units of the cell vectors:
Ca (0.000, 0.000, 0.499)
Ca (0.000, 0.000, 0.001)
Ag (0.500, 0.500, 0.750)
Mo (0.500, 0.500, 0.250)



Q: Which of these has the highest final energy?
A: MgTeS